1.
The following is a PBE calculation of Ni2PCl after structural relaxation, from Alexandria.

a = 3.0775 Å, b = 3.0775 Å, c = 6.9081 Å
α = 90.00°, β = 90.00°, γ = 90.00°
Last column: nearest neighbours and their distance in Å.
Fractional positions:
Ni (0.0000, 0.0000, 0.0000)  1 P 2.26, 4 Cl 2.51
Ni (0.5000, 0.5000, 0.2157)  4 P 2.31
P (0.0000, 0.0000, 0.3270)  5 Ni 2.26-2.31
Cl (0.5000, 0.5000, 0.8187)  5 Ni 2.51-2.74

Properties
crystal system	tetragonal
relative energy among the computed polymorphs	1.07	eV/f.u.

2.
The following is a PBE calculation of KSr2Ca after structural relaxation, from Alexandria.

a = 4.6943 Å, b = 6.6718 Å, c = 13.7630 Å
α = 90.00°, β = 90.00°, γ = 90.00°
Last column: nearest neighbours and their distance in Å.
Fractional positions:
K (0.0000, 0.0000, 0.0000)  4 K 4.08, 2 Ca 4.22, 2 Sr 4.41
K (0.5000, 0.5000, 0.0000)  4 K 4.08, 2 Ca 4.22, 2 Sr 4.41
Sr (0.0000, 0.0000, 0.5162)  2 Ca 3.93, 6 Sr 4.08-4.11
Sr (0.0000, 0.5000, 0.2709)  6 Sr 4.08-4.11, 2 K 4.41
Sr (0.5000, 0.0000, 0.2709)  6 Sr 4.08-4.11, 2 K 4.41
Sr (0.5000, 0.5000, 0.5162)  2 Ca 3.93, 6 Sr 4.08-4.11
Ca (0.0000, 0.5000, 0.7452)  2 Sr 3.93, 4 Ca 4.08, 2 K 4.22
Ca (0.5000, 0.0000, 0.7452)  2 Sr 3.93, 4 Ca 4.08, 2 K 4.22

Properties
crystal system	orthorhombic
calculated formation energy	0.08	eV/atom
relative energy among the computed polymorphs	0.05	eV/f.u.

3.
The following is a PBE calculation of BaHfCdN2 after structural relaxation, from Alexandria.

a = 4.3735 Å, b = 4.3735 Å, c = 6.3010 Å
α = 90.00°, β = 90.00°, γ = 90.00°
Last column: nearest neighbours and their distance in Å.
Fractional positions:
Ba (0.0000, 0.0000, 0.0000)  4 Cd 3.09, 2 Hf 3.15
Hf (0.0000, 0.0000, 0.5000)  4 N 2.19
Cd (0.5000, 0.5000, 0.0000)  4 Ba 3.09
N (0.0000, 0.5000, 0.5000)  2 Hf 2.19
N (0.5000, 0.0000, 0.5000)  2 Hf 2.19

Properties
crystal system	tetragonal
energy	-5.275	eV per atom

4.
The following is a PBE calculation of ScCo4Rh after structural relaxation, from Alexandria.

a = 4.7921 Å, b = 4.7921 Å, c = 4.7921 Å
α = 60.00°, β = 60.00°, γ = 60.00°
Last column: nearest neighbours and their distance in Å.
Fractional positions:
Sc (0.0000, 0.0000, 0.0000)  12 Co 2.81, 4 Rh 2.93
Co (0.3748, 0.3748, 0.3748)  6 Co 2.39-2.40
Co (0.3748, 0.3748, 0.8757)  6 Co 2.39-2.40
Co (0.3748, 0.8757, 0.3748)  6 Co 2.39-2.40
Co (0.8757, 0.3748, 0.3748)  6 Co 2.39-2.40
Rh (0.7500, 0.7500, 0.7500)  12 Co 2.81, 4 Sc 2.93

Properties
crystal system	cubic
calculated formation energy	-0.22	eV/atom

5.
The following is a PBE calculation of Tm5ZnFe2 after structural relaxation, from Alexandria.

a = 8.6059 Å, b = 8.6059 Å, c = 8.6059 Å
α = 130.15°, β = 130.15°, γ = 73.16°
Last column: nearest neighbours and their distance in Å.
Fractional positions:
Tm (0.0000, 0.0000, 0.0000)  4 Fe 2.95, 8 Tm 3.29
Tm (0.0360, 0.5360, 0.8489)  3 Fe 2.85-2.93, 2 Zn 3.09
Tm (0.1871, 0.0360, 0.5000)  3 Fe 2.85-2.93, 2 Zn 3.09
Tm (0.3129, 0.8129, 0.8489)  3 Fe 2.85-2.93, 2 Zn 3.09
Tm (0.4640, 0.3129, 0.5000)  3 Fe 2.85-2.93, 2 Zn 3.09
Tm (0.5000, 0.5000, 0.0000)  4 Fe 2.95, 8 Tm 3.29
Tm (0.5360, 0.6871, 0.5000)  3 Fe 2.85-2.93, 2 Zn 3.09
Tm (0.6871, 0.1871, 0.1511)  3 Fe 2.85-2.93, 2 Zn 3.09
Tm (0.8129, 0.9640, 0.5000)  3 Fe 2.85-2.93, 2 Zn 3.09
Tm (0.9640, 0.4640, 0.1511)  3 Fe 2.85-2.93, 2 Zn 3.09
Zn (0.2500, 0.2500, 0.0000)  10 Tm 3.09-3.46
Zn (0.7500, 0.7500, 0.0000)  10 Tm 3.09-3.46
Fe (0.1086, 0.3914, 0.5000)  1 Fe 2.23
Fe (0.3914, 0.8914, 0.2828)  1 Fe 2.23
Fe (0.6086, 0.1086, 0.7172)  1 Fe 2.23
Fe (0.8914, 0.6086, 0.5000)  1 Fe 2.23

Properties
crystal system	tetragonal
calculated formation energy	-0.11	eV/atom

What did the first record say?
The following is a PBE calculation of Ni2PCl after structural relaxation, from Alexandria.

a = 3.0775 Å, b = 3.0775 Å, c = 6.9081 Å
α = 90.00°, β = 90.00°, γ = 90.00°
Last column: nearest neighbours and their distance in Å.
Fractional positions:
Ni (0.0000, 0.0000, 0.0000)  1 P 2.26, 4 Cl 2.51
Ni (0.5000, 0.5000, 0.2157)  4 P 2.31
P (0.0000, 0.0000, 0.3270)  5 Ni 2.26-2.31
Cl (0.5000, 0.5000, 0.8187)  5 Ni 2.51-2.74

Properties
crystal system	tetragonal
relative energy among the computed polymorphs	1.07	eV/f.u.